LaCo10Si2 after structural relaxation, computed with GGA-PBE.

The structure belongs to space group Cmcm (No. 63); the cell edges are 8.374, 9.390 and 8.234 Å and the angles 90.00°, 90.00° and 90.00°. The distinct sites, in fractional coordinates, are La at (0.000, 0.108, 0.250), Co at (0.000, 0.181, 0.603), Co at (0.000, 0.398, 0.086), Co at (0.139, 0.393, 0.750), Co at (0.235, 0.000, 0.000), Co at (0.249, 0.365, 0.250) and Si at (0.250, 0.250, 0.000).

The uncorrected formation energy is -0.219 eV per atom. As for the density: 8.0 g cm⁻³. Its total magnetization is 48.80 Bohr magnetons per cell. The total DFT energy (no corrections) comes out at -6.90 eV/atom.